BaCrN2O: relaxed, PBE with a Hubbard U.

Summary:
DFT total energy in eV per atom: -6.52
V in Å³/cell: 62.7

Cell lengths 3.820, 3.820, 4.299 Å; angles 90.00, 90.00, 90.00 degrees
Fractional positions:
1 N 0.500 0.000 0.000
2 Ba 0.500 0.500 0.500
3 N 0.000 0.500 0.000
4 O 0.000 0.000 0.500
5 Cr 0.000 0.000 0.000